## one
This record from Alexandria via LeMat-Bulk describes a geometry-optimized Be3TcOs structure. The functional is PBE.

Lattice parameters (Å, degrees): 3.986 3.986 3.986 90.00 90.00 90.00
Fractional coordinates of all 5 atoms:
Be1 0.000 0.500 0.000
Be2 0.000 0.000 0.500
Be3 0.500 0.000 0.000
Os1 0.500 0.500 0.500
Tc1 0.000 0.000 0.000

Values from the calculation:
* size of the total moment: 0.136 μB/cell
* DOS(E_F): 0.759 states/eV/atom

## two
This record from Alexandria via LeMat-Bulk describes a geometry-optimized Be3TcOs structure. The functional is PBE.

Lattice parameters (Å, degrees): 4.098 4.098 4.098 90.00 90.00 90.00
Fractional coordinates of all 5 atoms:
Be1 0.000 0.500 0.000
Be2 0.000 0.000 0.500
Be3 0.500 0.000 0.000
Os1 0.000 0.000 0.000
Tc1 0.500 0.500 0.500

Values from the calculation:
* size of the total moment: 2.449 μB/cell
* DOS(E_F): 0.577 states/eV/atom

On energetic grounds, two is preferred over the next structure by 31.9 kJ/mol of atoms.

## one
This record from Alexandria via LeMat-Bulk describes a geometry-optimized BeTe3Os structure. The functional is PBE.

Lattice parameters (Å, degrees): 4.747 4.747 4.747 90.00 90.00 90.00
Fractional coordinates of all 5 atoms:
Be1 0.000 0.000 0.000
Te1 0.000 0.500 0.000
Te2 0.000 0.000 0.500
Te3 0.500 0.000 0.000
Os1 0.500 0.500 0.500

Values from the calculation:
* size of the total moment: 0.000 μB/cell
* DOS(E_F): 0.632 states/eV/atom

## two
This record from Alexandria via LeMat-Bulk describes a geometry-optimized BeTe3Os structure. The functional is PBE.

Lattice parameters (Å, degrees): 5.246 5.246 5.246 90.00 90.00 90.00
Fractional coordinates of all 5 atoms:
Be1 0.500 0.500 0.500
Te1 0.000 0.500 0.000
Te2 0.000 0.000 0.500
Te3 0.500 0.000 0.000
Os1 0.000 0.000 0.000

Values from the calculation:
* size of the total moment: 0.000 μB/cell
* DOS(E_F): 1.247 states/eV/atom

On energetic grounds, two is preferred over the next structure by 2.6 kJ/mol of atoms.

## one
This record from Alexandria via LeMat-Bulk describes a geometry-optimized BeTeOs structure. The functional is PBE.

Lattice parameters (Å, degrees): 4.055 4.055 3.401 90.00 90.00 120.00
Fractional coordinates of all 3 atoms:
Be1 0.000 0.000 0.167
Te1 0.333 0.667 0.667
Os1 0.667 0.333 0.167

Values from the calculation:
* size of the total moment: 0.000 μB/cell
* DOS(E_F): 0.843 states/eV/atom

## two
This record from Alexandria via LeMat-Bulk describes a geometry-optimized BeTeOs structure. The functional is PBE.

Lattice parameters (Å, degrees): 6.677 6.410 2.961 82.02 71.94 26.05
Fractional coordinates of all 3 atoms:
Be1 0.979 0.979 0.021
Te1 0.664 0.664 0.336
Os1 0.357 0.357 0.643

Values from the calculation:
* size of the total moment: 0.000 μB/cell
* DOS(E_F): 0.808 states/eV/atom

## three
This record from Alexandria via LeMat-Bulk describes a geometry-optimized BeTeOs structure. The functional is PBE.

Lattice parameters (Å, degrees): 4.228 4.228 4.228 60.00 60.00 60.00
Fractional coordinates of all 3 atoms:
Be1 0.500 0.500 0.500
Te1 0.000 0.000 0.000
Os1 0.250 0.250 0.250

Values from the calculation:
* size of the total moment: 0.000 μB/cell
* DOS(E_F): 1.007 states/eV/atom

## four
This record from Alexandria via LeMat-Bulk describes a geometry-optimized BeTeOs structure. The functional is PBE.

Lattice parameters (Å, degrees): 5.283 5.283 5.283 145.09 145.09 50.20
Fractional coordinates of all 3 atoms:
Be1 0.957 0.957 0.000
Te1 0.666 0.666 0.000
Os1 0.377 0.377 0.000

Values from the calculation:
* size of the total moment: 0.000 μB/cell
* DOS(E_F): 0.908 states/eV/atom

On energetic grounds, three is preferred over the next structure by 4.4 kJ/mol of atoms.

## one
This record from Alexandria via LeMat-Bulk describes a geometry-optimized TiBe2Os2 structure. The functional is PBE.

Lattice parameters (Å, degrees): 6.763 6.763 2.756 90.00 90.00 90.00
Fractional coordinates of all 10 atoms:
Be1 0.152 0.652 0.500
Be2 0.652 0.848 0.500
Be3 0.848 0.348 0.500
Be4 0.348 0.152 0.500
Os1 0.359 0.859 0.000
Os2 0.859 0.641 0.000
Os3 0.641 0.141 0.000
Os4 0.141 0.359 0.000
Ti1 0.000 0.000 0.000
Ti2 0.500 0.500 0.000

Values from the calculation:
* size of the total moment: 0.000 μB/cell
* DOS(E_F): 0.751 states/eV/atom

## two
This record from Alexandria via LeMat-Bulk describes a geometry-optimized TiBe2Os2 structure. The functional is PBE.

Lattice parameters (Å, degrees): 6.274 6.274 2.991 90.00 90.00 90.00
Fractional coordinates of all 10 atoms:
Be1 0.380 0.880 0.000
Be2 0.880 0.620 0.000
Be3 0.620 0.120 0.000
Be4 0.120 0.380 0.000
Os1 0.171 0.671 0.500
Os2 0.671 0.829 0.500
Os3 0.829 0.329 0.500
Os4 0.329 0.171 0.500
Ti1 0.000 0.000 0.000
Ti2 0.500 0.500 0.000

Values from the calculation:
* size of the total moment: 0.000 μB/cell
* DOS(E_F): 0.340 states/eV/atom

On energetic grounds, two is preferred over the next structure by 37.1 kJ/mol of atoms.

## one
This record from Alexandria via LeMat-Bulk describes a geometry-optimized TiBeOs structure. The functional is PBE.

Lattice parameters (Å, degrees): 5.115 5.435 6.520 90.00 90.00 118.07
Fractional coordinates of all 12 atoms:
Be1 0.596 0.193 0.558
Be2 0.904 0.807 0.058
Be3 0.404 0.807 0.442
Be4 0.096 0.193 0.942
Os1 0.324 0.147 0.250
Os2 0.176 0.853 0.750
Os3 0.676 0.853 0.750
Os4 0.824 0.147 0.250
Ti1 0.830 0.661 0.417
Ti2 0.670 0.339 0.917
Ti3 0.170 0.339 0.583
Ti4 0.330 0.661 0.083

Values from the calculation:
* size of the total moment: 0.000 μB/cell
* DOS(E_F): 0.846 states/eV/atom

## two
This record from Alexandria via LeMat-Bulk describes a geometry-optimized TiBeOs structure. The functional is PBE.

Lattice parameters (Å, degrees): 3.095 3.095 4.648 109.45 109.45 90.00
Fractional coordinates of all 3 atoms:
Be1 0.296 0.296 0.592
Os1 0.939 0.939 0.878
Ti1 0.615 0.615 0.231

Values from the calculation:
* size of the total moment: 0.000 μB/cell
* DOS(E_F): 0.155 states/eV/atom

On energetic grounds, two is preferred over the next structure by 15.8 kJ/mol of atoms.

## one
This record from Alexandria via LeMat-Bulk describes a geometry-optimized BeTl3Os structure. The functional is PBE.

Lattice parameters (Å, degrees): 4.897 4.897 4.897 90.00 90.00 90.00
Fractional coordinates of all 5 atoms:
Be1 0.000 0.000 0.000
Tl1 0.000 0.500 0.000
Tl2 0.000 0.000 0.500
Tl3 0.500 0.000 0.000
Os1 0.500 0.500 0.500

Values from the calculation:
* size of the total moment: 2.441 μB/cell
* DOS(E_F): 1.185 states/eV/atom

## two
This record from Alexandria via LeMat-Bulk describes a geometry-optimized BeTl3Os structure. The functional is PBE.

Lattice parameters (Å, degrees): 5.323 5.323 5.323 90.00 90.00 90.00
Fractional coordinates of all 5 atoms:
Be1 0.500 0.500 0.500
Tl1 0.000 0.500 0.000
Tl2 0.000 0.000 0.500
Tl3 0.500 0.000 0.000
Os1 0.000 0.000 0.000

Values from the calculation:
* size of the total moment: 0.000 μB/cell
* DOS(E_F): 0.781 states/eV/atom

On energetic grounds, two is preferred over the next structure by 34.0 kJ/mol of atoms.